Record 1
NdSm2Co2B2As3: relaxed, GGA-PBE.

Cell lengths 11.737, 11.737, 11.737 Å; angles 160.25, 160.25, 28.07 degrees
Element x y z (fractional)
As: 0.500 0.500 0.000
As: 0.127 0.127 0.000
As: 0.873 0.873 0.000
Co: 0.250 0.750 0.500
Co: 0.750 0.250 0.500
Sm: 0.356 0.356 0.000
Sm: 0.644 0.644 0.000
Nd: 0.000 0.000 0.000
B: 0.220 0.220 0.000
B: 0.780 0.780 0.000

Its total magnetization is 0.00 μB per cell. For the raw total energy, the calculation gives -62.9 eV for the cell shown.

---

Record 2
CdHgAsO: relaxed, GGA-PBE.

Cell lengths 3.293, 7.546, 6.844 Å; angles 90.00, 90.00, 90.00 degrees
Element x y z (fractional)
Hg: 0.000 0.330 0.968
Hg: 0.000 0.670 0.468
As: 0.000 0.657 0.858
As: 0.000 0.343 0.358
O: 0.500 0.874 0.372
O: 0.500 0.126 0.872
Cd: 0.500 0.890 0.056
Cd: 0.500 0.110 0.556

The calculation puts the excess energy over the best structure of this formula in the dataset at 0 meV/atom.

---

Record 3
Al3W10: relaxed, GGA-PBE.

Cell lengths 9.666, 9.666, 9.666 Å; angles 31.19, 31.19, 31.19 degrees
Element x y z (fractional)
W: 0.650 0.650 0.650
W: 0.091 0.587 0.091
W: 0.546 0.546 0.546
W: 0.413 0.909 0.909
W: 0.909 0.413 0.909
W: 0.454 0.454 0.454
W: 0.350 0.350 0.350
W: 0.091 0.091 0.587
W: 0.587 0.091 0.091
W: 0.909 0.909 0.413
Al: 0.834 0.834 0.834
Al: 0.166 0.166 0.166
Al: 0.000 0.000 0.000

The calculation puts the excess energy over the best structure of this formula in the dataset at 54 meV/atom. Its total magnetization is 0.00 μB per cell.

---

Record 4
Dy2TmMg4Al2: relaxed, GGA-PBE.

Cell lengths 4.559, 7.436, 7.436 Å; angles 119.64, 90.00, 90.00 degrees
Element x y z (fractional)
Mg: 0.500 0.249 0.249
Mg: 0.500 0.750 0.000
Mg: 0.000 0.998 0.998
Mg: 0.500 0.000 0.750
Tm: 0.000 0.563 0.563
Dy: 0.000 0.437 0.001
Dy: 0.000 0.001 0.437
Al: 0.500 0.335 0.667
Al: 0.500 0.667 0.335

Its total magnetization is 0.00 μB per cell. For the raw total energy, the calculation gives -29.3 eV for the cell shown.

---

Record 5
Te7Pd20: relaxed, GGA-PBE.

Cell lengths 7.853, 7.853, 7.853 Å; angles 99.02, 99.02, 99.02 degrees
Element x y z (fractional)
Pd: 0.214 0.671 0.468
Pd: 0.012 0.314 0.856
Pd: 0.468 0.214 0.671
Pd: 0.995 0.663 0.777
Pd: 0.671 0.468 0.214
Pd: 0.621 0.621 0.621
Pd: 0.532 0.786 0.329
Pd: 0.988 0.686 0.144
Pd: 0.223 0.005 0.337
Pd: 0.337 0.223 0.005
Pd: 0.686 0.144 0.988
Pd: 0.663 0.777 0.995
Pd: 0.314 0.856 0.012
Pd: 0.379 0.379 0.379
Pd: 0.777 0.995 0.663
Pd: 0.856 0.012 0.314
Pd: 0.005 0.337 0.223
Pd: 0.329 0.532 0.786
Pd: 0.144 0.988 0.686
Pd: 0.786 0.329 0.532
Te: 0.454 0.879 0.723
Te: 0.277 0.546 0.121
Te: 0.879 0.723 0.454
Te: 0.121 0.277 0.546
Te: 0.723 0.454 0.879
Te: 0.000 0.000 0.000
Te: 0.546 0.121 0.277

For the raw total energy, the calculation gives -133.4 eV for the cell shown.

---

Record 6
NdHgTe: relaxed, GGA-PBE.

Cell lengths 5.238, 5.238, 5.238 Å; angles 60.00, 60.00, 60.00 degrees
Element x y z (fractional)
Hg: 0.250 0.250 0.250
Nd: 0.000 0.000 0.000
Te: 0.750 0.750 0.750

The calculation puts the excess energy over the best structure of this formula in the dataset at 0 meV/atom. Its total magnetization is 0.06 μB per cell.